Entry 1:
# Pr2ZrBi2N2, relaxed, DFT PBE
# Energy   -98.9 eV/cell
# Calculated density   8.5 Mg/m³
# V   22.77 Å³ per atom
# Total magnetic moment   0.0 μB/cell
data_Pr2ZrBi2N2
_chemical_formula_sum 'Pr4 Zr2 Bi4 N4'
_space_group_name_H-M_alt 'I 4/m m m'
_space_group_IT_number 139
_space_group_name_Hall '-I 4 2'
_cell_length_a 4.334
_cell_length_b 4.334
_cell_length_c 16.974
_cell_angle_alpha 90.00
_cell_angle_beta 90.00
_cell_angle_gamma 90.00
loop_
_atom_site_label
_atom_site_type_symbol
_atom_site_fract_x
_atom_site_fract_y
_atom_site_fract_z
_atom_site_occupancy
Pr1 Pr 0.000 0.000 0.097 1
Zr1 Zr 0.000 0.000 0.500 1
Bi1 Bi 0.000 0.000 0.307 1
N1 N 0.000 0.500 0.000 1

***

Entry 2:
# Sr2Li3CdGe4, relaxed, DFT PBE
# Energy   -32.2 eV/cell
# Calculated density   4.6 Mg/m³
# V   21.69 Å³ per atom
# Total magnetic moment   0.0 μB/cell
# E_form   -0.374 eV/atom
data_Sr2Li3CdGe4
_chemical_formula_sum 'Sr2 Li3 Cd1 Ge4'
_space_group_name_H-M_alt 'P -4 m 2'
_space_group_IT_number 115
_cell_length_a 4.389
_cell_length_b 4.389
_cell_length_c 11.258
_cell_angle_alpha 90.00
_cell_angle_beta 90.00
_cell_angle_gamma 90.00
loop_
_space_group_symop_operation_xyz
'x,y,z'
'y,-x,-z'
'-x,-y,z'
'-y,x,-z'
'-x,y,z'
'-y,-x,-z'
'x,-y,z'
'y,x,-z'
loop_
_atom_site_label
_atom_site_type_symbol
_atom_site_fract_x
_atom_site_fract_y
_atom_site_fract_z
_atom_site_occupancy
Sr1 Sr 0.000 0.500 0.243 1
Li1 Li 0.000 0.500 0.873 1
Li2 Li 0.500 0.500 0.500 1
Cd1 Cd 0.000 0.000 0.500 1
Ge1 Ge 0.000 0.000 0.000 1
Ge2 Ge 0.000 0.500 0.644 1
Ge3 Ge 0.500 0.500 0.000 1

***

Entry 3:
# Sr2CrRe2, relaxed, DFT PBE
# Energy   -58.0 eV/cell
# Calculated density   7.6 Mg/m³
# V   26.03 Å³ per atom
# Total magnetic moment   4.3 μB/cell
# E_form   1.775 eV/atom
data_Sr2CrRe2
_chemical_formula_sum 'Sr4 Cr2 Re4'
_space_group_name_H-M_alt 'I 4/m m m'
_space_group_IT_number 139
_space_group_name_Hall '-I 4 2'
_cell_length_a 4.315
_cell_length_b 4.315
_cell_length_c 13.985
_cell_angle_alpha 90.00
_cell_angle_beta 90.00
_cell_angle_gamma 90.00
loop_
_atom_site_label
_atom_site_type_symbol
_atom_site_fract_x
_atom_site_fract_y
_atom_site_fract_z
_atom_site_occupancy
Sr1 Sr 0.000 0.500 0.250 1
Cr1 Cr 0.000 0.000 0.000 1
Re1 Re 0.000 0.000 0.422 1

***

Entry 4:
# GeP3N, relaxed, DFT PBE
# Energy   -24.6 eV/cell
# Calculated density   4.2 Mg/m³
# V   14.12 Å³ per atom
# Total magnetic moment   0.0 μB/cell
data_GeP3N
_chemical_formula_sum 'Ge1 P3 N1'
_space_group_name_H-M_alt 'P m -3 m'
_space_group_IT_number 221
_space_group_name_Hall '-P 4 2 3'
_cell_length_a 4.133
_cell_length_b 4.133
_cell_length_c 4.133
_cell_angle_alpha 90.00
_cell_angle_beta 90.00
_cell_angle_gamma 90.00
loop_
_atom_site_label
_atom_site_type_symbol
_atom_site_fract_x
_atom_site_fract_y
_atom_site_fract_z
_atom_site_occupancy
Ge1 Ge 0.000 0.000 0.000 1
P1 P 0.000 0.500 0.500 1
N1 N 0.500 0.500 0.500 1

***

Entry 5:
# Ce3TeC, relaxed, DFT PBE
# Energy   -33.1 eV/cell
# Calculated density   7.8 Mg/m³
# V   23.84 Å³ per atom
# Total magnetic moment   1.4 μB/cell
data_Ce3TeC
_chemical_formula_sum 'Ce3 Te1 C1'
_space_group_name_H-M_alt 'P m -3 m'
_space_group_IT_number 221
_space_group_name_Hall '-P 4 2 3'
_cell_length_a 4.921
_cell_length_b 4.921
_cell_length_c 4.921
_cell_angle_alpha 90.00
_cell_angle_beta 90.00
_cell_angle_gamma 90.00
loop_
_atom_site_label
_atom_site_type_symbol
_atom_site_fract_x
_atom_site_fract_y
_atom_site_fract_z
_atom_site_occupancy
Ce1 Ce 0.000 0.000 0.500 1
Te1 Te 0.500 0.500 0.500 1
C1 C 0.000 0.000 0.000 1

***

Entry 6:
# Y2ZrFe, relaxed, DFT PBE
# Energy   -111.7 eV/cell
# Calculated density   6.0 Mg/m³
# V   22.64 Å³ per atom
# Total magnetic moment   0.0 μB/cell
# E_form   0.503 eV/atom
data_Y2ZrFe
_chemical_formula_sum 'Y8 Zr4 Fe4'
_space_group_name_H-M_alt 'F m -3 m'
_space_group_IT_number 225
_space_group_name_Hall '-F 4 2 3'
_cell_length_a 7.129
_cell_length_b 7.129
_cell_length_c 7.129
_cell_angle_alpha 90.00
_cell_angle_beta 90.00
_cell_angle_gamma 90.00
loop_
_atom_site_label
_atom_site_type_symbol
_atom_site_fract_x
_atom_site_fract_y
_atom_site_fract_z
_atom_site_occupancy
Y1 Y 0.250 0.250 0.250 1
Zr1 Zr 0.000 0.000 0.000 1
Fe1 Fe 0.000 0.000 0.500 1

***

Entry 7:
# Cs3Ag2I2Br4, relaxed, DFT PBE
# Energy   -59.4 eV/cell
# Calculated density   4.4 Mg/m³
# V   41.18 Å³ per atom
# Total magnetic moment   0.0 μB/cell
data_Cs3Ag2I2Br4
_chemical_formula_sum 'Cs6 Ag4 I4 Br8'
_space_group_name_H-M_alt 'I 4/m m m'
_space_group_IT_number 139
_space_group_name_Hall '-I 4 2'
_cell_length_a 5.433
_cell_length_b 5.433
_cell_length_c 30.690
_cell_angle_alpha 90.00
_cell_angle_beta 90.00
_cell_angle_gamma 90.00
loop_
_atom_site_label
_atom_site_type_symbol
_atom_site_fract_x
_atom_site_fract_y
_atom_site_fract_z
_atom_site_occupancy
Cs1 Cs 0.000 0.000 0.000 1
Cs2 Cs 0.000 0.000 0.174 1
Ag1 Ag 0.000 0.000 0.399 1
I1 I 0.000 0.000 0.304 1
Br1 Br 0.000 0.500 0.083 1

***

Entry 8:
# P5Ir, relaxed, DFT PBE
# Energy   -32.2 eV/cell
# Calculated density   4.7 Mg/m³
# V   20.39 Å³ per atom
# Total magnetic moment   0.0 μB/cell
# E_form   0.617 eV/atom
data_P5Ir
_chemical_formula_sum 'P5 Ir1'
_space_group_name_H-M_alt 'P 6/m m m'
_space_group_IT_number 191
_space_group_name_Hall '-P 6 2'
_cell_length_a 4.3434
_cell_length_b 4.3434
_cell_length_c 7.4901
_cell_angle_alpha 90.00
_cell_angle_beta 90.00
_cell_angle_gamma 120.00
loop_
_atom_site_label
_atom_site_type_symbol
_atom_site_fract_x
_atom_site_fract_y
_atom_site_fract_z
_atom_site_occupancy
P1 P 0.0000 0.5000 0.0000 1
P2 P 0.3333 0.6667 0.5000 1
Ir1 Ir 0.0000 0.0000 0.5000 1

***

Entry 9:
# Tb3SmDy2Bi6, relaxed, DFT PBE
# Energy   -123.3 eV/cell
# Calculated density   9.5 Mg/m³
# V   32.17 Å³ per atom
# Total magnetic moment   0.0 μB/cell
# E_form   -0.880 eV/atom
data_Tb3SmDy2Bi6
_chemical_formula_sum 'Tb6 Sm2 Dy4 Bi12'
_space_group_name_H-M_alt 'C 1 2/m 1'
_space_group_IT_number 12
_cell_length_a 19.600
_cell_length_b 4.497
_cell_length_c 8.996
_cell_angle_alpha 90.00
_cell_angle_beta 103.21
_cell_angle_gamma 90.00
loop_
_space_group_symop_operation_xyz
'x,y,z'
'-x,-y,-z'
'-x,y,-z'
'x,-y,z'
'x+1/2,y+1/2,z'
'-x+1/2,-y+1/2,-z'
'-x+1/2,y+1/2,-z'
'x+1/2,-y+1/2,z'
loop_
_atom_site_label
_atom_site_type_symbol
_atom_site_fract_x
_atom_site_fract_y
_atom_site_fract_z
_atom_site_occupancy
Tb1 Tb 0.000 0.000 0.000 1
Tb2 Tb 0.166 0.500 0.333 1
Sm1 Sm 0.000 0.000 0.500 1
Dy1 Dy 0.167 0.500 0.833 1
Bi1 Bi 0.001 0.500 0.753 1
Bi2 Bi 0.167 0.000 0.082 1
Bi3 Bi 0.168 0.000 0.585 1

***

Entry 10:
# HgBr2, relaxed, DFT PBE
# Energy   -20.0 eV/cell
# Calculated density   5.3 Mg/m³
# V   37.74 Å³ per atom
# Total magnetic moment   0.0 μB/cell
data_HgBr2
_chemical_formula_sum 'Hg4 Br8'
_space_group_name_H-M_alt 'C m c 21'
_space_group_IT_number 36
_cell_length_a 4.933
_cell_length_b 6.945
_cell_length_c 13.218
_cell_angle_alpha 90.00
_cell_angle_beta 90.00
_cell_angle_gamma 90.00
loop_
_space_group_symop_operation_xyz
'x,y,z'
'-x,-y,z+1/2'
'-x,y,z'
'x,-y,z+1/2'
'x+1/2,y+1/2,z'
'-x+1/2,-y+1/2,z+1/2'
'-x+1/2,y+1/2,z'
'x+1/2,-y+1/2,z+1/2'
loop_
_atom_site_label
_atom_site_type_symbol
_atom_site_fract_x
_atom_site_fract_y
_atom_site_fract_z
_atom_site_occupancy
Hg1 Hg 0.000 0.164 0.000 1
Br1 Br 0.000 0.108 0.623 1
Br2 Br 0.000 0.436 0.877 1

***

Entry 11:
# Er2CdHg, relaxed, DFT PBE
# Energy   -47.7 eV/cell
# Calculated density   10.6 Mg/m³
# V   25.32 Å³ per atom
# Total magnetic moment   0.0 μB/cell
# E_form   -0.394 eV/atom
data_Er2CdHg
_chemical_formula_sum 'Er8 Cd4 Hg4'
_space_group_name_H-M_alt 'F m -3 m'
_space_group_IT_number 225
_space_group_name_Hall '-F 4 2 3'
_cell_length_a 7.400
_cell_length_b 7.400
_cell_length_c 7.400
_cell_angle_alpha 90.00
_cell_angle_beta 90.00
_cell_angle_gamma 90.00
loop_
_atom_site_label
_atom_site_type_symbol
_atom_site_fract_x
_atom_site_fract_y
_atom_site_fract_z
_atom_site_occupancy
Er1 Er 0.250 0.250 0.250 1
Cd1 Cd 0.000 0.000 0.000 1
Hg1 Hg 0.000 0.000 0.500 1

***

Entry 12:
# YAgBrN2, relaxed, DFT PBE
# Energy   -24.4 eV/cell
# Calculated density   4.4 Mg/m³
# V   23.11 Å³ per atom
# Total magnetic moment   0.9 μB/cell
data_YAgBrN2
_chemical_formula_sum 'Y1 Ag1 Br1 N2'
_space_group_name_H-M_alt 'P 4/m m m'
_space_group_IT_number 123
_space_group_name_Hall '-P 4 2'
_cell_length_a 4.396
_cell_length_b 4.396
_cell_length_c 5.979
_cell_angle_alpha 90.00
_cell_angle_beta 90.00
_cell_angle_gamma 90.00
loop_
_atom_site_label
_atom_site_type_symbol
_atom_site_fract_x
_atom_site_fract_y
_atom_site_fract_z
_atom_site_occupancy
Y1 Y 0.000 0.000 0.000 1
Ag1 Ag 0.500 0.500 0.500 1
Br1 Br 0.000 0.000 0.500 1
N1 N 0.000 0.500 0.000 1

***

Entry 13:
# Ba3H5F, relaxed, DFT PBE
# Energy   -134.2 eV/cell
# Calculated density   4.0 Mg/m³
# V   19.97 Å³ per atom
# Total magnetic moment   0.0 μB/cell
data_Ba3H5F
_chemical_formula_sum 'Ba12 H20 F4'
_space_group_name_H-M_alt 'C m c m'
_space_group_IT_number 63
_space_group_name_Hall '-C 2c 2'
_cell_length_a 4.246
_cell_length_b 14.818
_cell_length_c 11.428
_cell_angle_alpha 90.00
_cell_angle_beta 90.00
_cell_angle_gamma 90.00
loop_
_atom_site_label
_atom_site_type_symbol
_atom_site_fract_x
_atom_site_fract_y
_atom_site_fract_z
_atom_site_occupancy
Ba1 Ba 0.000 0.074 0.250 1
Ba2 Ba 0.000 0.377 0.063 1
H1 H 0.000 0.000 0.000 1
H2 H 0.000 0.193 0.068 1
H3 H 0.000 0.457 0.633 1
F1 F 0.000 0.112 0.750 1

***

Entry 14:
# Sm2Mn2GaCo5, relaxed, DFT PBE
# Energy   -131.4 eV/cell
# Calculated density   8.4 Mg/m³
# V   15.24 Å³ per atom
# Total magnetic moment   21.5 μB/cell
# E_form   0.065 eV/atom
data_Sm2Mn2GaCo5
_chemical_formula_sum 'Sm4 Mn4 Ga2 Co10'
_space_group_name_H-M_alt 'P 4/m b m'
_space_group_IT_number 127
_space_group_name_Hall '-P 4 2ab'
_cell_length_a 9.186
_cell_length_b 9.186
_cell_length_c 3.612
_cell_angle_alpha 90.00
_cell_angle_beta 90.00
_cell_angle_gamma 90.00
loop_
_atom_site_label
_atom_site_type_symbol
_atom_site_fract_x
_atom_site_fract_y
_atom_site_fract_z
_atom_site_occupancy
Sm1 Sm 0.183 0.317 0.000 1
Mn1 Mn 0.116 0.616 0.000 1
Ga1 Ga 0.000 0.000 0.000 1
Co1 Co 0.000 0.500 0.500 1
Co2 Co 0.052 0.801 0.500 1

***

Entry 15:
# BaReAs2, relaxed, DFT PBE
# Energy   -23.8 eV/cell
# Calculated density   9.4 Mg/m³
# V   20.87 Å³ per atom
# Total magnetic moment   0.0 μB/cell
# E_form   -0.043 eV/atom
data_BaReAs2
_chemical_formula_sum 'Ba1 Re1 As2'
_space_group_name_H-M_alt 'P 4/m m m'
_space_group_IT_number 123
_space_group_name_Hall '-P 4 2'
_cell_length_a 3.265
_cell_length_b 3.265
_cell_length_c 7.831
_cell_angle_alpha 90.00
_cell_angle_beta 90.00
_cell_angle_gamma 90.00
loop_
_atom_site_label
_atom_site_type_symbol
_atom_site_fract_x
_atom_site_fract_y
_atom_site_fract_z
_atom_site_occupancy
Ba1 Ba 0.000 0.000 0.000 1
Re1 Re 0.000 0.000 0.500 1
As1 As 0.500 0.500 0.316 1

***

Entry 16:
# HoVRh2, relaxed, DFT PBE
# Energy   -30.0 eV/cell
# Calculated density   10.3 Mg/m³
# V   16.95 Å³ per atom
# Total magnetic moment   2.3 μB/cell
# E_form   -0.406 eV/atom
data_HoVRh2
_chemical_formula_sum 'Ho1 V1 Rh2'
_space_group_name_H-M_alt 'P 4/m m m'
_space_group_IT_number 123
_space_group_name_Hall '-P 4 2'
_cell_length_a 4.641
_cell_length_b 4.641
_cell_length_c 3.149
_cell_angle_alpha 90.00
_cell_angle_beta 90.00
_cell_angle_gamma 90.00
loop_
_atom_site_label
_atom_site_type_symbol
_atom_site_fract_x
_atom_site_fract_y
_atom_site_fract_z
_atom_site_occupancy
Ho1 Ho 0.000 0.000 0.000 1
V1 V 0.500 0.500 0.000 1
Rh1 Rh 0.000 0.500 0.500 1

***

Entry 17:
# PmNdBr6, relaxed, DFT PBE
# Energy   -102.6 eV/cell
# Calculated density   4.3 Mg/m³
# V   37.41 Å³ per atom
# Total magnetic moment   0.0 μB/cell
data_PmNdBr6
_chemical_formula_sum 'Pm3 Nd3 Br18'
_space_group_name_H-M_alt 'R -3'
_space_group_IT_number 148
_space_group_name_Hall '-R 3'
_cell_length_a 7.2277
_cell_length_b 7.2277
_cell_length_c 19.8461
_cell_angle_alpha 90.00
_cell_angle_beta 90.00
_cell_angle_gamma 120.00
loop_
_atom_site_label
_atom_site_type_symbol
_atom_site_fract_x
_atom_site_fract_y
_atom_site_fract_z
_atom_site_occupancy
Pm1 Pm 0.0000 0.0000 0.0000 1
Nd1 Nd 0.0000 0.0000 0.5000 1
Br1 Br 0.0017 0.3404 0.7497 1

***

Entry 18:
# AgBi6Pd5, relaxed, DFT PBE
# Energy   -107.6 eV/cell
# Calculated density   11.2 Mg/m³
# V   23.48 Å³ per atom
# Total magnetic moment   0.0 μB/cell
# E_form   -0.141 eV/atom
data_AgBi6Pd5
_chemical_formula_sum 'Ag2 Bi12 Pd10'
_space_group_name_H-M_alt 'C 1 2/m 1'
_space_group_IT_number 12
_cell_length_a 6.694
_cell_length_b 11.213
_cell_length_c 7.762
_cell_angle_alpha 90.00
_cell_angle_beta 104.69
_cell_angle_gamma 90.00
loop_
_space_group_symop_operation_xyz
'x,y,z'
'-x,-y,-z'
'-x,y,-z'
'x,-y,z'
'x+1/2,y+1/2,z'
'-x+1/2,-y+1/2,-z'
'-x+1/2,y+1/2,-z'
'x+1/2,-y+1/2,z'
loop_
_atom_site_label
_atom_site_type_symbol
_atom_site_fract_x
_atom_site_fract_y
_atom_site_fract_z
_atom_site_occupancy
Ag1 Ag 0.000 0.000 0.000 1
Bi1 Bi 0.194 0.500 0.211 1
Bi2 Bi 0.213 0.315 0.713 1
Pd1 Pd 0.000 0.124 0.500 1
Pd2 Pd 0.000 0.289 0.000 1
Pd3 Pd 0.000 0.500 0.500 1

***

Entry 19:
# Th4ReBiSe2, relaxed, DFT PBE
# Energy   -59.8 eV/cell
# Calculated density   10.5 Mg/m³
# V   29.35 Å³ per atom
# Total magnetic moment   0.0 μB/cell
data_Th4ReBiSe2
_chemical_formula_sum 'Th4 Re1 Bi1 Se2'
_space_group_name_H-M_alt 'P 1 2/m 1'
_space_group_IT_number 10
_cell_length_a 7.495
_cell_length_b 4.243
_cell_length_c 7.801
_cell_angle_alpha 90.00
_cell_angle_beta 108.78
_cell_angle_gamma 90.00
loop_
_space_group_symop_operation_xyz
'x,y,z'
'-x,-y,-z'
'-x,y,-z'
'x,-y,z'
loop_
_atom_site_label
_atom_site_type_symbol
_atom_site_fract_x
_atom_site_fract_y
_atom_site_fract_z
_atom_site_occupancy
Th1 Th 0.223 0.000 0.214 1
Th2 Th 0.249 0.500 0.784 1
Re1 Re 0.000 0.500 0.000 1
Bi1 Bi 0.000 0.000 0.500 1
Se1 Se 0.500 0.000 0.000 1
Se2 Se 0.500 0.500 0.500 1

***

Entry 20:
# AcErAu3, relaxed, DFT PBE
# Energy   -91.0 eV/cell
# Calculated density   12.8 Mg/m³
# V   25.48 Å³ per atom
# Total magnetic moment   0.0 μB/cell
# E_form   -0.851 eV/atom
data_AcErAu3
_chemical_formula_sum 'Ac4 Er4 Au12'
_space_group_name_H-M_alt 'C m c m'
_space_group_IT_number 63
_space_group_name_Hall '-C 2c 2'
_cell_length_a 3.854
_cell_length_b 28.343
_cell_length_c 4.666
_cell_angle_alpha 90.00
_cell_angle_beta 90.00
_cell_angle_gamma 90.00
loop_
_atom_site_label
_atom_site_type_symbol
_atom_site_fract_x
_atom_site_fract_y
_atom_site_fract_z
_atom_site_occupancy
Ac1 Ac 0.000 0.075 0.250 1
Er1 Er 0.000 0.207 0.750 1
Au1 Au 0.000 0.311 0.750 1
Au2 Au 0.000 0.373 0.250 1
Au3 Au 0.000 0.473 0.250 1